*a*
Ac3PmRh3 after structural relaxation, computed with PBE-GGA.

Geometry as CIF:
```
data_Ac3PmRh3
_symmetry_space_group_name_H-M 'P 1'
_symmetry_Int_Tables_number 1
_symmetry_space_group_name_Hall 'P 1'
_cell_length_a 10.343
_cell_length_b 10.343
_cell_length_c 10.343
_cell_angle_alpha 109.47
_cell_angle_beta 109.47
_cell_angle_gamma 109.47
loop_
_atom_site_label
_atom_site_fract_x
_atom_site_fract_y
_atom_site_fract_z
Ac1 0.256 0.006 0.012
Ac2 0.750 0.744 0.756
Ac3 0.512 0.756 0.006
Ac4 0.994 0.250 0.006
Ac5 0.244 0.756 0.250
Ac6 0.506 0.494 0.250
Ac7 0.256 0.250 0.744
Ac8 0.244 0.488 0.494
Ac9 0.750 0.006 0.494
Ac10 0.988 0.494 0.744
Ac11 0.994 0.744 0.488
Ac12 0.506 0.012 0.756
Pm1 0.750 0.500 0.000
Pm2 0.500 0.250 0.500
Pm3 0.750 0.250 0.250
Pm4 0.000 0.000 0.250
Rh1 0.005 0.502 0.252
Rh2 0.498 0.995 0.248
Rh3 0.250 0.998 0.502
Rh4 0.002 0.750 0.998
Rh5 0.002 0.252 0.505
Rh6 0.748 0.998 0.995
Rh7 0.752 0.505 0.502
Rh8 0.748 0.750 0.252
Rh9 0.495 0.248 0.998
Rh10 0.250 0.252 0.248
Rh11 0.752 0.248 0.750
Rh12 0.498 0.502 0.750
```



*b*
Ac3PmRh3 after structural relaxation, computed with PBE-GGA.

Geometry as CIF:
```
data_Ac3PmRh3
_symmetry_space_group_name_H-M 'P 1'
_symmetry_Int_Tables_number 1
_symmetry_space_group_name_Hall 'P 1'
_cell_length_a 7.280
_cell_length_b 7.280
_cell_length_c 7.648
_cell_angle_alpha 90.57
_cell_angle_beta 90.57
_cell_angle_gamma 98.82
loop_
_atom_site_label
_atom_site_fract_x
_atom_site_fract_y
_atom_site_fract_z
Ac1 0.663 0.663 0.351
Ac2 0.180 0.820 0.500
Ac3 0.820 0.180 0.500
Ac4 0.246 0.754 0.000
Ac5 0.754 0.246 0.000
Ac6 0.337 0.337 0.649
Pm1 0.762 0.762 0.857
Pm2 0.238 0.238 0.143
Rh1 0.932 0.932 0.188
Rh2 0.982 0.505 0.717
Rh3 0.505 0.982 0.717
Rh4 0.018 0.495 0.283
Rh5 0.495 0.018 0.283
Rh6 0.068 0.068 0.812
```



Ranked by calculated energy, most stable first: *a*, *b*.



*a*
AcPm3Ru after structural relaxation, computed with PBE-GGA.

Geometry as CIF:
```
data_AcPm3Ru
_symmetry_space_group_name_H-M 'P 1'
_symmetry_Int_Tables_number 1
_symmetry_space_group_name_Hall 'P 1'
_cell_length_a 7.774
_cell_length_b 7.993
_cell_length_c 10.608
_cell_angle_alpha 104.97
_cell_angle_beta 90.00
_cell_angle_gamma 90.00
loop_
_atom_site_label
_atom_site_fract_x
_atom_site_fract_y
_atom_site_fract_z
Ac1 0.951 0.694 0.251
Ac2 0.049 0.306 0.749
Ac3 0.451 0.306 0.249
Ac4 0.549 0.694 0.751
Pm1 0.125 0.098 0.400
Pm2 0.875 0.902 0.600
Pm3 0.625 0.902 0.100
Pm4 0.375 0.098 0.900
Pm5 0.488 0.803 0.380
Pm6 0.512 0.197 0.620
Pm7 0.988 0.197 0.120
Pm8 0.012 0.803 0.880
Pm9 0.203 0.586 0.533
Pm10 0.797 0.414 0.467
Pm11 0.703 0.414 0.967
Pm12 0.297 0.586 0.033
Ru1 0.253 0.950 0.609
Ru2 0.747 0.050 0.391
Ru3 0.753 0.050 0.891
Ru4 0.247 0.950 0.109
```



*b*
AcPm3Ru after structural relaxation, computed with PBE-GGA.

Geometry as CIF:
```
data_AcPm3Ru
_symmetry_space_group_name_H-M 'P 1'
_symmetry_Int_Tables_number 1
_symmetry_space_group_name_Hall 'P 1'
_cell_length_a 7.596
_cell_length_b 7.596
_cell_length_c 7.583
_cell_angle_alpha 106.33
_cell_angle_beta 111.74
_cell_angle_gamma 110.45
loop_
_atom_site_label
_atom_site_fract_x
_atom_site_fract_y
_atom_site_fract_z
Ac1 0.720 0.051 0.771
Ac2 0.280 0.949 0.229
Pm1 0.842 0.054 0.305
Pm2 0.250 0.462 0.305
Pm3 0.750 0.538 0.695
Pm4 0.701 0.452 0.153
Pm5 0.158 0.946 0.695
Pm6 0.299 0.548 0.847
Ru1 0.649 0.748 0.396
Ru2 0.351 0.252 0.604
```



*c*
AcPm3Ru after structural relaxation, computed with PBE-GGA.

Geometry as CIF:
```
data_AcPm3Ru
_symmetry_space_group_name_H-M 'P 1'
_symmetry_Int_Tables_number 1
_symmetry_space_group_name_Hall 'P 1'
_cell_length_a 5.586
_cell_length_b 5.586
_cell_length_c 5.586
_cell_angle_alpha 90.00
_cell_angle_beta 90.00
_cell_angle_gamma 90.00
loop_
_atom_site_label
_atom_site_fract_x
_atom_site_fract_y
_atom_site_fract_z
Ru1 0.000 0.000 0.000
Ac1 0.500 0.500 0.500
Pm1 0.000 0.500 0.000
Pm2 0.000 0.000 0.500
Pm3 0.500 0.000 0.000
```



Ranked by calculated energy, most stable first: *b*, *a*, *c*.



*a*
AcPmZnRu after structural relaxation, computed with PBE-GGA.

Geometry as CIF:
```
data_AcPmZnRu
_symmetry_space_group_name_H-M 'P 1'
_symmetry_Int_Tables_number 1
_symmetry_space_group_name_Hall 'P 1'
_cell_length_a 4.237
_cell_length_b 4.498
_cell_length_c 5.843
_cell_angle_alpha 90.00
_cell_angle_beta 111.26
_cell_angle_gamma 90.00
loop_
_atom_site_label
_atom_site_fract_x
_atom_site_fract_y
_atom_site_fract_z
Ac1 0.146 0.000 0.293
Pm1 0.864 0.500 0.728
Zn1 0.562 0.500 0.123
Ru1 0.428 0.000 0.856
```



*b*
AcPmZnRu after structural relaxation, computed with PBE-GGA.

Geometry as CIF:
```
data_AcPmZnRu
_symmetry_space_group_name_H-M 'P 1'
_symmetry_Int_Tables_number 1
_symmetry_space_group_name_Hall 'P 1'
_cell_length_a 5.202
_cell_length_b 5.202
_cell_length_c 5.202
_cell_angle_alpha 60.00
_cell_angle_beta 60.00
_cell_angle_gamma 60.00
loop_
_atom_site_label
_atom_site_fract_x
_atom_site_fract_y
_atom_site_fract_z
Ru1 0.250 0.250 0.250
Ac1 0.500 0.500 0.500
Zn1 0.750 0.750 0.750
Pm1 0.000 0.000 0.000
```



Ranked by calculated energy, most stable first: *a*, *b*.



*a*
AcPmS3 after structural relaxation, computed with PBE-GGA.

Geometry as CIF:
```
data_AcPmS3
_symmetry_space_group_name_H-M 'P 1'
_symmetry_Int_Tables_number 1
_symmetry_space_group_name_Hall 'P 1'
_cell_length_a 4.207
_cell_length_b 7.661
_cell_length_c 15.945
_cell_angle_alpha 90.00
_cell_angle_beta 90.00
_cell_angle_gamma 90.00
loop_
_atom_site_label
_atom_site_fract_x
_atom_site_fract_y
_atom_site_fract_z
Ac1 0.750 0.855 0.801
Ac2 0.250 0.145 0.199
Ac3 0.750 0.355 0.699
Ac4 0.250 0.645 0.301
Pm1 0.250 0.269 0.956
Pm2 0.250 0.769 0.544
Pm3 0.750 0.231 0.456
Pm4 0.750 0.731 0.044
S1 0.250 0.372 0.559
S2 0.750 0.851 0.215
S3 0.750 0.487 0.896
S4 0.750 0.987 0.604
S5 0.750 0.628 0.441
S6 0.250 0.013 0.396
S7 0.250 0.872 0.941
S8 0.750 0.351 0.285
S9 0.250 0.649 0.715
S10 0.250 0.149 0.785
S11 0.750 0.128 0.059
S12 0.250 0.513 0.104
```



*b*
AcPmS3 after structural relaxation, computed with PBE-GGA.

Geometry as CIF:
```
data_AcPmS3
_symmetry_space_group_name_H-M 'P 1'
_symmetry_Int_Tables_number 1
_symmetry_space_group_name_Hall 'P 1'
_cell_length_a 4.197
_cell_length_b 6.886
_cell_length_c 9.042
_cell_angle_alpha 90.00
_cell_angle_beta 90.00
_cell_angle_gamma 90.00
loop_
_atom_site_label
_atom_site_fract_x
_atom_site_fract_y
_atom_site_fract_z
Ac1 0.750 0.250 0.147
Ac2 0.250 0.750 0.853
Pm1 0.750 0.750 0.402
Pm2 0.250 0.250 0.598
S1 0.750 0.750 0.075
S2 0.250 0.250 0.925
S3 0.750 0.983 0.663
S4 0.750 0.517 0.663
S5 0.250 0.017 0.337
S6 0.250 0.483 0.337
```



Ranked by calculated energy, most stable first: *a*, *b*.



*a*
AcPmS after structural relaxation, computed with PBE-GGA.

Geometry as CIF:
```
data_AcPmS
_symmetry_space_group_name_H-M 'P 1'
_symmetry_Int_Tables_number 1
_symmetry_space_group_name_Hall 'P 1'
_cell_length_a 6.871
_cell_length_b 4.070
_cell_length_c 4.070
_cell_angle_alpha 120.00
_cell_angle_beta 90.00
_cell_angle_gamma 90.00
loop_
_atom_site_label
_atom_site_fract_x
_atom_site_fract_y
_atom_site_fract_z
Ac1 0.738 0.667 0.333
S1 0.015 0.000 0.000
Pm1 0.247 0.333 0.667
```



*b*
AcPmS after structural relaxation, computed with PBE-GGA.

Geometry as CIF:
```
data_AcPmS
_symmetry_space_group_name_H-M 'P 1'
_symmetry_Int_Tables_number 1
_symmetry_space_group_name_Hall 'P 1'
_cell_length_a 4.020
_cell_length_b 9.461
_cell_length_c 23.940
_cell_angle_alpha 158.09
_cell_angle_beta 85.18
_cell_angle_gamma 77.74
loop_
_atom_site_label
_atom_site_fract_x
_atom_site_fract_y
_atom_site_fract_z
Pm1 0.066 0.670 0.198
Pm2 0.934 0.330 0.802
Ac1 0.135 0.394 0.336
Ac2 0.865 0.606 0.664
S1 0.075 0.572 0.277
S2 0.925 0.428 0.723
```



Ranked by calculated energy, most stable first: *a*, *b*.



*a*
Ac3PmS6 after structural relaxation, computed with PBE-GGA.

Geometry as CIF:
```
data_Ac3PmS6
_symmetry_space_group_name_H-M 'P 1'
_symmetry_Int_Tables_number 1
_symmetry_space_group_name_Hall 'P 1'
_cell_length_a 8.636
_cell_length_b 8.636
_cell_length_c 8.636
_cell_angle_alpha 91.89
_cell_angle_beta 91.89
_cell_angle_gamma 91.89
loop_
_atom_site_label
_atom_site_fract_x
_atom_site_fract_y
_atom_site_fract_z
Ac1 0.433 0.925 0.749
Ac2 0.925 0.749 0.433
Ac3 0.251 0.567 0.075
Ac4 0.749 0.433 0.925
Ac5 0.075 0.251 0.567
Ac6 0.567 0.075 0.251
Pm1 0.000 0.000 0.000
Pm2 0.500 0.500 0.500
S1 0.308 0.914 0.072
S2 0.086 0.928 0.692
S3 0.590 0.810 0.462
S4 0.928 0.692 0.086
S5 0.462 0.590 0.810
S6 0.190 0.538 0.410
S7 0.810 0.462 0.590
S8 0.538 0.410 0.190
S9 0.072 0.308 0.914
S10 0.410 0.190 0.538
S11 0.914 0.072 0.308
S12 0.692 0.086 0.928
```



*b*
Ac3PmS6 after structural relaxation, computed with PBE-GGA.

Geometry as CIF:
```
data_Ac3PmS6
_symmetry_space_group_name_H-M 'P 1'
_symmetry_Int_Tables_number 1
_symmetry_space_group_name_Hall 'P 1'
_cell_length_a 7.421
_cell_length_b 7.547
_cell_length_c 7.547
_cell_angle_alpha 60.17
_cell_angle_beta 62.11
_cell_angle_gamma 62.11
loop_
_atom_site_label
_atom_site_fract_x
_atom_site_fract_y
_atom_site_fract_z
Ac1 0.296 0.249 0.249
Ac2 0.704 0.751 0.751
Ac3 0.000 0.000 0.000
Pm1 0.500 0.500 0.500
S1 0.346 0.163 0.658
S2 0.654 0.342 0.837
S3 0.654 0.837 0.342
S4 0.346 0.658 0.163
S5 0.110 0.740 0.740
S6 0.890 0.260 0.260
```



Ranked by calculated energy, most stable first: *a*, *b*.